Record 1
Here is a geometry-optimized LaAgIO2 structure from the Alexandria database. Energies are from PBE.

Space-group type: Cmcm, No. 63
Excess energy over the best structure of this formula in the dataset in kJ per mole of atoms: 0.00

Cell: 5.9551 5.9304 7.2286 Å, 114.22 90.00 90.00°
Positions (direct):
O 0.5000 0.7327 0.0000
I 0.7500 0.7505 0.5010
I 0.2500 0.2495 0.4990
O 0.0000 0.2673 0.0000
O 0.5000 0.2673 0.0000
La 0.2500 0.5932 0.1864
Ag 0.2500 0.9745 0.9491
Ag 0.7500 0.0255 0.0509
La 0.7500 0.4068 0.8136
O 0.0000 0.7327 0.0000


Record 2
Here is a geometry-optimized Ac2Mg12Cu7 structure from the Alexandria database. Energies are from PBE.

Space-group type: P-6, No. 174
ΔE_f in eV/f.u.: -2.25

Cell: 4.2486 10.8846 10.8846 Å, 120.00 90.00 90.00°
Positions (direct):
Cu 0.5000 0.4575 0.0814
Mg 0.5000 0.7178 0.0938
Mg 0.5000 0.2077 0.4470
Mg 0.0000 0.4905 0.9430
Cu 0.0000 0.2072 0.2567
Cu 0.5000 0.9186 0.3762
Cu 0.0000 0.7433 0.9505
Cu 0.0000 0.0495 0.7928
Mg 0.5000 0.2393 0.7923
Mg 0.5000 0.9062 0.6240
Mg 0.0000 0.9519 0.2366
Mg 0.0000 0.7634 0.7153
Cu 0.5000 0.6238 0.5425
Mg 0.0000 0.0570 0.5475
Mg 0.0000 0.4525 0.5095
Mg 0.0000 0.2847 0.0481
Ac 0.0000 0.6667 0.3333
Cu 0.0000 0.3333 0.6667
Ac 0.5000 0.0000 0.0000
Mg 0.5000 0.5530 0.7607
Mg 0.5000 0.3760 0.2822


Record 3
Here is a geometry-optimized Tb4Te3Pt structure from the Alexandria database. Energies are from PBE.

Space-group type: Cmmm, No. 65
Electronic total energy in eV per atom: -5.561

Cell: 4.2163 7.6143 7.6143 Å, 108.39 90.00 90.00°
Positions (direct):
Tb 0.0000 0.2130 0.2130
Pt 0.5000 0.0000 0.0000
Te 0.0000 0.5000 0.0000
Te 0.5000 0.5000 0.5000
Tb 0.0000 0.7870 0.7870
Tb 0.5000 0.7644 0.2356
Te 0.0000 0.0000 0.5000
Tb 0.5000 0.2356 0.7644


Record 4
Here is a geometry-optimized UAl2Ga2 structure from the Alexandria database. Energies are from PBE.

Space-group type: P6_3/mmc, No. 194
ΔE_f in eV/f.u.: 1.91

Cell: 4.6909 4.6909 11.7115 Å, 90.00 90.00 120.00°
Positions (direct):
Ga 0.3333 0.6667 0.8781
U 0.0000 0.0000 0.7500
Ga 0.6667 0.3333 0.1219
Ga 0.3333 0.6667 0.6219
U 0.0000 0.0000 0.2500
Ga 0.6667 0.3333 0.3781
Al 0.6667 0.3333 0.7500
Al 0.3333 0.6667 0.2500
Al 0.0000 0.0000 0.0000
Al 0.0000 0.0000 0.5000


Record 5
Here is a geometry-optimized PaH3Ru structure from the Alexandria database. Energies are from PBE.

Space-group type: P2_1/m, No. 11
Excess energy over the best structure of this formula in the dataset in kJ per mole of atoms: 0.00

Cell: 3.8549 4.4593 6.1834 Å, 90.00 108.09 90.00°
Positions (direct):
H 0.3053 0.9858 0.6114
Pa 0.8666 0.7500 0.7343
H 0.6947 0.4858 0.3886
H 0.9256 0.2500 0.8533
Pa 0.1334 0.2500 0.2657
H 0.6947 0.0142 0.3886
Ru 0.5807 0.7500 0.1601
H 0.0744 0.7500 0.1467
Ru 0.4193 0.2500 0.8399
H 0.3053 0.5142 0.6114


Record 6
Here is a geometry-optimized SiWBr structure from the Alexandria database. Energies are from PBE.

Space-group type: Fmm2, No. 42
Excess energy over the best structure of this formula in the dataset in kJ per mole of atoms: 21.17

Cell: 7.3830 7.1404 2.9808 Å, 82.76 73.63 23.61°
Positions (direct):
Br 0.0180 0.0180 0.9820
W 0.6715 0.6715 0.3285
Si 0.3104 0.3104 0.6896


Record 7
Here is a geometry-optimized TbU2P3 structure from the Alexandria database. Energies are from PBE.

Space-group type: Pnma, No. 62
ΔE_f in eV/f.u.: -7.04

Cell: 5.5982 7.9084 11.9091 Å, 90.00 90.00 89.99°
Positions (direct):
U 0.2505 0.8752 0.7519
P 0.7498 0.8700 0.0855
U 0.2497 0.3769 0.0837
P 0.2503 0.1224 0.5852
P 0.2502 0.1300 0.9145
P 0.7505 0.8742 0.7512
Tb 0.2498 0.3755 0.4185
Tb 0.2498 0.8755 0.0815
P 0.7505 0.3742 0.7488
P 0.2503 0.6224 0.9148
P 0.7498 0.3700 0.4145
U 0.7503 0.1231 0.5837
P 0.2495 0.6258 0.2512
U 0.7503 0.6231 0.9163
P 0.7497 0.8776 0.4148
U 0.7495 0.6248 0.2519
P 0.2495 0.1258 0.2488
Tb 0.7502 0.1245 0.9185
P 0.2502 0.6300 0.5855
U 0.7495 0.1248 0.2481
Tb 0.7502 0.6245 0.5815
P 0.7497 0.3776 0.0852
U 0.2505 0.3752 0.7481
U 0.2497 0.8769 0.4163


Record 8
Here is a geometry-optimized MgMoBr2 structure from the Alexandria database. Energies are from PBE.

Space-group type: Pmmm, No. 47
Excess energy over the best structure of this formula in the dataset in kJ per mole of atoms: 51.71

Cell: 3.3917 6.1590 4.4361 Å, 90.00 90.00 90.00°
Positions (direct):
Br 0.0000 0.0000 0.0000
Mg 0.5000 0.0000 0.5000
Mo 0.0000 0.5000 0.5000
Br 0.5000 0.5000 0.0000


Record 9
Here is a geometry-optimized VCr2Co5 structure from the Alexandria database. Energies are from PBE.

Space-group type: I4/mmm, No. 139
ΔE_f in eV/f.u.: -0.40

Cell: 3.5168 3.5168 7.4637 Å, 103.63 103.63 90.00°
Positions (direct):
V 0.0000 0.0000 0.0000
Co 0.6261 0.1261 0.2523
Co 0.8739 0.3739 0.7477
Co 0.3739 0.8739 0.7477
Co 0.1261 0.6261 0.2523
Cr 0.7507 0.7507 0.5014
Cr 0.2493 0.2493 0.4986
Co 0.5000 0.5000 0.0000


Record 10
Here is a geometry-optimized SrSi2Sb structure from the Alexandria database. Energies are from PBE.

Space-group type: P4mm, No. 99
Electronic total energy in eV per atom: -4.138

Cell: 3.8278 3.8263 6.5971 Å, 90.00 90.00 90.00°
Positions (direct):
Sr 0.0000 0.0000 0.4860
Si 0.5000 0.5000 0.1902
Sb 0.5000 0.5000 0.8043
Si 0.0000 0.0000 0.0195


Record 11
Here is a geometry-optimized Nd3RuI3 structure from the Alexandria database. Energies are from PBE.

Space-group type: P2_1/m, No. 11
Electronic total energy in eV per atom: -5.033

Cell: 4.3037 9.3511 12.6328 Å, 92.66 90.00 90.00°
Positions (direct):
Nd 0.2500 0.3047 0.6158
I 0.2500 0.3639 0.8725
I 0.2500 0.8653 0.8836
Nd 0.2500 0.9017 0.6106
Ru 0.2500 0.8951 0.3826
Nd 0.7500 0.6953 0.3842
Nd 0.7500 0.1131 0.8289
I 0.7500 0.6005 0.6335
Nd 0.2500 0.8869 0.1711
I 0.7500 0.1347 0.1164
I 0.7500 0.6361 0.1275
Nd 0.7500 0.0983 0.3894
I 0.2500 0.3995 0.3665
Ru 0.7500 0.1049 0.6174


| no. | V (Å³ per cell) | magnetic moment (μB/cell) |
| --- | --- | --- |
| 1 | 232.8 | 1.8 |
| 2 | 435.9 | 0.0 |
| 3 | 232.0 | 0.0 |
| 4 | 223.2 | 4.9 |
| 5 | 101.0 | 0.0 |
| 6 | 56.7 | 0.0 |
| 7 | 527.3 | 17.6 |
| 8 | 92.7 | 3.2 |
| 9 | 87.0 | 0.0 |
| 10 | 96.6 | 0.0 |
| 11 | 507.9 | 0.0 |